# 1
The following is a DFT calculation (GGA-PBE) of crystalline CuNi2Ru at its relaxed geometry.

Results
As for the space group: No. 6. The energy of formation comes out at 0.132 eV per atom.

Cell lengths 2.5519, 4.1867, 4.4842 Å; angles 90.00, 90.05, 90.00 degrees
Positions (direct):
Cu: 0.0000 0.0000 0.0000
Ni: 0.4974 0.0000 0.5096
Ni: 0.4979 0.5000 0.8421
Ru: 0.9971 0.5000 0.3466

=====

# 2
The following is a DFT calculation (GGA-PBE) of crystalline BaSiO3 at its relaxed geometry.

Results
As for the space group: No. 194. The value obtained for the uncorrected formation energy is -2.575 eV/atom.

Cell lengths 5.5179, 5.5179, 13.2776 Å; angles 90.00, 90.00, 120.00 degrees
Positions (direct):
Ba: 0.0000 0.0000 0.2500
Ba: 0.0000 0.0000 0.7500
Ba: 0.3333 0.6667 0.0952
Ba: 0.3333 0.6667 0.4048
Ba: 0.6667 0.3333 0.5952
Ba: 0.6667 0.3333 0.9048
Si: 0.0000 0.0000 0.0000
Si: 0.0000 0.0000 0.5000
Si: 0.3333 0.6667 0.6562
Si: 0.3333 0.6667 0.8438
Si: 0.6667 0.3333 0.1562
Si: 0.6667 0.3333 0.3438
O: 0.0496 0.5248 0.7500
O: 0.1666 0.3332 0.5801
O: 0.1666 0.3332 0.9199
O: 0.1666 0.8334 0.5801
O: 0.1666 0.8334 0.9199
O: 0.3332 0.1666 0.0801
O: 0.3332 0.1666 0.4199
O: 0.4752 0.5248 0.7500
O: 0.4752 0.9504 0.7500
O: 0.5248 0.0496 0.2500
O: 0.5248 0.4752 0.2500
O: 0.6668 0.8334 0.5801
O: 0.6668 0.8334 0.9199
O: 0.8334 0.1666 0.0801
O: 0.8334 0.1666 0.4199
O: 0.8334 0.6668 0.0801
O: 0.8334 0.6668 0.4199
O: 0.9504 0.4752 0.2500

=====

# 3
The following is a DFT calculation (GGA-PBE) of crystalline NaCeC at its relaxed geometry.

Results
As for the space group: No. 12. The energy of formation comes out at 0.095 eV per atom.

Cell lengths 7.0511, 4.0753, 11.2937 Å; angles 90.00, 101.96, 90.00 degrees
Positions (direct):
Na: 0.2073 0.0000 0.1213
Na: 0.2927 0.5000 0.8787
Na: 0.7073 0.5000 0.1213
Na: 0.7927 0.0000 0.8787
Ce: 0.1264 0.5000 0.3784
Ce: 0.3736 0.0000 0.6216
Ce: 0.6264 0.0000 0.3784
Ce: 0.8736 0.5000 0.6216
C: 0.1979 0.5000 0.5939
C: 0.3021 0.0000 0.4061
C: 0.6979 0.0000 0.5939
C: 0.8021 0.5000 0.4061

=====

# 4
The following is a DFT calculation (GGA-PBE) of crystalline GaSi2Ir2 at its relaxed geometry.

Results
As for the space group: No. 127. The value obtained for the uncorrected formation energy is -0.253 eV/atom.

Cell lengths 7.3586, 7.3586, 2.7452 Å; angles 90.00, 90.00, 90.00 degrees
Positions (direct):
Ga: 0.0000 0.0000 0.0000
Ga: 0.5000 0.5000 0.0000
Si: 0.1455 0.3545 0.0000
Si: 0.3545 0.8545 0.0000
Si: 0.6455 0.1455 0.0000
Si: 0.8545 0.6455 0.0000
Ir: 0.1451 0.6451 0.5000
Ir: 0.3549 0.1451 0.5000
Ir: 0.6451 0.8549 0.5000
Ir: 0.8549 0.3549 0.5000

=====

# 5
The following is a DFT calculation (GGA-PBE) of crystalline LaErZnHg at its relaxed geometry.

Results
As for the space group: No. 99. The energy of formation comes out at -0.410 eV per atom.

Cell lengths 3.6578, 3.6578, 7.6967 Å; angles 90.00, 90.00, 90.00 degrees
Positions (direct):
La: 0.0000 0.0000 0.0000
Er: 0.0000 0.0000 0.4672
Zn: 0.5000 0.5000 0.2594
Hg: 0.5000 0.5000 0.7044

=====

# 6
The following is a DFT calculation (GGA-PBE) of crystalline Li2SbC at its relaxed geometry.

Results
As for the space group: No. 122. The value obtained for the uncorrected formation energy is 0.670 eV/atom.

Cell lengths 3.6456, 3.6456, 17.0434 Å; angles 90.00, 90.00, 90.00 degrees
Positions (direct):
Li: 0.1904 0.7500 0.1250
Li: 0.2500 0.1904 0.8750
Li: 0.2500 0.3096 0.3750
Li: 0.3096 0.7500 0.6250
Li: 0.6904 0.2500 0.6250
Li: 0.7500 0.6904 0.3750
Li: 0.7500 0.8096 0.8750
Li: 0.8096 0.2500 0.1250
Sb: 0.0000 0.0000 0.5000
Sb: 0.0000 0.5000 0.7500
Sb: 0.5000 0.0000 0.2500
Sb: 0.5000 0.5000 0.0000
C: 0.0000 0.0000 0.0000
C: 0.0000 0.5000 0.2500
C: 0.5000 0.0000 0.7500
C: 0.5000 0.5000 0.5000

=====

# 7
The following is a DFT calculation (GGA-PBE) of crystalline HoAlCd at its relaxed geometry.

Results
As for the space group: No. 187. The energy of formation comes out at -0.374 eV per atom.

Cell lengths 4.6992, 4.6992, 3.5464 Å; angles 90.00, 90.00, 120.00 degrees
Positions (direct):
Ho: 0.0000 0.0000 0.0000
Al: 0.6667 0.3333 0.5000
Cd: 0.3333 0.6667 0.5000

=====

# 8
The following is a DFT calculation (GGA-PBE) of crystalline NaCa5Ga3 at its relaxed geometry.

Results
As for the space group: No. 193. The energy of formation comes out at -0.265 eV per atom.

Cell lengths 9.3658, 9.3658, 6.7425 Å; angles 90.00, 90.00, 120.00 degrees
Positions (direct):
Na: 0.0000 0.0000 0.0000
Na: 0.0000 0.0000 0.5000
Ca: 0.0000 0.3147 0.2500
Ca: 0.0000 0.6853 0.7500
Ca: 0.3147 0.0000 0.2500
Ca: 0.3147 0.3147 0.7500
Ca: 0.3333 0.6667 0.0000
Ca: 0.3333 0.6667 0.5000
Ca: 0.6667 0.3333 0.0000
Ca: 0.6667 0.3333 0.5000
Ca: 0.6853 0.0000 0.7500
Ca: 0.6853 0.6853 0.2500
Ga: 0.0000 0.3595 0.7500
Ga: 0.0000 0.6405 0.2500
Ga: 0.3595 0.0000 0.7500
Ga: 0.3595 0.3595 0.2500
Ga: 0.6405 0.0000 0.2500
Ga: 0.6405 0.6405 0.7500

=====

# 9
The following is a DFT calculation (GGA-PBE) of crystalline Ac5Tb6Nd2 at its relaxed geometry.

Results
As for the space group: No. 55. The energy of formation comes out at 0.124 eV per atom.

Cell lengths 11.9136, 21.9045, 3.7764 Å; angles 90.00, 90.00, 90.00 degrees
Positions (direct):
Ac: 0.0000 0.0000 0.0000
Ac: 0.0892 0.2654 0.0000
Ac: 0.1819 0.5460 0.0000
Ac: 0.3181 0.0460 0.0000
Ac: 0.4108 0.7654 0.0000
Ac: 0.5000 0.5000 0.0000
Ac: 0.5892 0.2346 0.0000
Ac: 0.6819 0.9540 0.0000
Ac: 0.8181 0.4540 0.0000
Ac: 0.9108 0.7346 0.0000
Tb: 0.0825 0.4085 0.5000
Tb: 0.0913 0.1272 0.5000
Tb: 0.1608 0.8545 0.0000
Tb: 0.3392 0.3545 0.0000
Tb: 0.4087 0.6272 0.5000
Tb: 0.4175 0.9085 0.5000
Tb: 0.5825 0.0915 0.5000
Tb: 0.5913 0.3728 0.5000
Tb: 0.6607 0.6455 0.0000
Tb: 0.8392 0.1455 0.0000
Tb: 0.9087 0.8728 0.5000
Tb: 0.9175 0.5915 0.5000
Nd: 0.1616 0.7067 0.5000
Nd: 0.3384 0.2067 0.5000
Nd: 0.6616 0.7933 0.5000
Nd: 0.8384 0.2933 0.5000

=====

# 10
The following is a DFT calculation (GGA-PBE) of crystalline MgIn2Cu at its relaxed geometry.

Results
As for the space group: No. 65. The energy of formation comes out at 0.082 eV per atom.

Cell lengths 6.1114, 8.3527, 3.2379 Å; angles 90.00, 90.00, 90.00 degrees
Positions (direct):
Mg: 0.0000 0.0000 0.0000
Mg: 0.5000 0.5000 0.0000
In: 0.2500 0.2500 0.5000
In: 0.2500 0.7500 0.5000
In: 0.7500 0.2500 0.5000
In: 0.7500 0.7500 0.5000
Cu: 0.0000 0.5000 0.0000
Cu: 0.5000 0.0000 0.0000

=====

# 11
The following is a DFT calculation (GGA-PBE) of crystalline Ce5ThTe8 at its relaxed geometry.

Results
As for the space group: No. 82. The value obtained for the uncorrected formation energy is -1.344 eV/atom.

Cell lengths 8.2373, 8.2373, 8.2373 Å; angles 109.50, 109.50, 109.41 degrees
Positions (direct):
Ce: 0.0000 0.0000 0.0000
Ce: 0.1225 0.4983 0.8747
Ce: 0.5017 0.3764 0.6242
Ce: 0.6236 0.2478 0.1253
Ce: 0.7522 0.8775 0.3758
Th: 0.2500 0.7500 0.5000
Te: 0.0303 0.2815 0.4036
Te: 0.2231 0.1247 0.7488
Te: 0.3733 0.9697 0.2512
Te: 0.3759 0.4743 0.2512
Te: 0.5257 0.7769 0.9016
Te: 0.7185 0.1221 0.7488
Te: 0.8753 0.6241 0.0984
Te: 0.8779 0.6267 0.5964

=====

# 12
The following is a DFT calculation (GGA-PBE) of crystalline ZrAl2Se at its relaxed geometry.

Results
As for the space group: No. 65. The value obtained for the uncorrected formation energy is -0.279 eV/atom.

Cell lengths 5.4019, 8.5555, 3.2928 Å; angles 90.00, 90.00, 90.00 degrees
Positions (direct):
Zr: 0.0000 0.0000 0.0000
Zr: 0.5000 0.5000 0.0000
Al: 0.2500 0.2500 0.5000
Al: 0.2500 0.7500 0.5000
Al: 0.7500 0.2500 0.5000
Al: 0.7500 0.7500 0.5000
Se: 0.0000 0.5000 0.0000
Se: 0.5000 0.0000 0.0000